A geometry-optimized PmNbIn structure. Source: the Alexandria database, functional PBE.

Output
- Crystal system: monoclinic
- Raw total energy: -5.871 eV/atom
- Spin magnetization: 0.23 μB/f.u.
- Space group: C2/m (12)

POSCAR file:
```
PmNbIn
1.0
3.0914 -0.1511 -0.2365
-0.2823 5.6726 -0.0342
-2.3100 -2.6038 8.4784
Nb In Pm
2 2 2
direct
0.1323 0.2794 0.4999
0.8677 0.7206 0.5001
0.2381 0.8688 0.2377
0.7619 0.1312 0.7623
0.3582 0.6785 0.8574
0.6418 0.3215 0.1426
```

A geometry-optimized Mg2InSnPd4 structure. Source: the Alexandria database, functional PBE.

Output
- Crystal system: trigonal
- Raw total energy: -4.514 eV/atom
- Spin magnetization: 0.00 μB/f.u.
- Space group: R-3m (166)

POSCAR file:
```
Mg2InSnPd4
1.0
-2.2625 -3.7029 1.4999
2.3234 -3.5820 1.6885
-0.3403 0.5655 7.9098
Mg In Sn Pd
2 1 1 4
direct
0.7515 0.7515 0.7455
0.2485 0.2485 0.2545
0.5000 0.5000 0.5000
0.0000 0.0000 0.0000
0.3738 0.3738 0.8785
0.8763 0.8763 0.3711
0.1237 0.1237 0.6289
0.6262 0.6262 0.1215
```

A geometry-optimized BaZr2Al structure. Source: the Alexandria database, functional PBE.

Output
- Crystal system: monoclinic
- Raw total energy: -5.603 eV/atom
- Spin magnetization: 0.00 μB/f.u.
- Space group: Pm (6)

POSCAR file:
```
BaZr2Al
1.0
3.9328 0.0000 0.0000
0.0000 3.4207 0.0119
0.0000 3.3819 8.3781
Ba Zr Al
1 2 1
direct
0.5000 0.7783 0.7230
0.0000 0.9253 0.0738
0.5000 0.2265 0.2729
0.0000 0.5699 0.4303
```

A geometry-optimized Zn6Ru7 structure. Source: the Alexandria database, functional PBE.

Output
- Crystal system: trigonal
- Raw total energy: -5.329 eV/atom
- Spin magnetization: 0.00 μB/f.u.
- Space group: R-3m (166)

POSCAR file:
```
Zn6Ru7
1.0
9.2970 0.0041 0.0025
7.8822 4.9301 0.0025
7.8822 2.2639 4.3796
Ru Zn
7 6
direct
0.9196 0.4112 0.4112
0.4112 0.4112 0.9196
0.4112 0.9196 0.4112
0.0804 0.5888 0.5888
0.5888 0.0804 0.5888
0.5888 0.5888 0.0804
0.5000 0.5000 0.5000
0.9410 0.9410 0.9410
0.0590 0.0590 0.0590
0.8427 0.8427 0.8427
0.1573 0.1573 0.1573
0.6648 0.6648 0.6648
0.3352 0.3352 0.3352
```

A geometry-optimized GeMoSCl2 structure. Source: the Alexandria database, functional PBE.

Output
- Crystal system: tetragonal
- Raw total energy: -4.170 eV/atom
- Excess energy over the best structure of this formula in the dataset: 384 meV per atom
- Spin magnetization: 4.50 μB/f.u.
- Space group: P4/mmm (123)
- Formation energy (no corrections): 2.42 eV per formula unit

POSCAR file:
```
GeMoSCl2
1.0
4.9040 0.0000 0.0000
0.0000 4.9040 0.0000
0.0000 0.0000 4.9827
S Mo Ge Cl
1 1 1 2
direct
0.0000 0.0000 0.5000
0.5000 0.5000 0.5000
0.0000 0.0000 0.0000
0.0000 0.5000 0.0000
0.5000 0.0000 0.0000
```

A geometry-optimized ReTcRuRh structure. Source: the Alexandria database, functional PBE.

Output
- Crystal system: orthorhombic
- Raw total energy: -9.594 eV/atom
- Spin magnetization: 0.00 μB/f.u.
- Space group: Imm2 (44)

POSCAR file:
```
ReTcRuRh
1.0
-1.2978 2.1961 0.9743
-2.8815 -2.6040 2.0311
5.1074 0.1299 2.6837
Re Tc Ru Rh
1 1 1 1
direct
0.3884 0.8884 0.7769
0.6610 0.6610 0.3221
0.0962 0.0962 0.1923
0.8335 0.3335 0.6670
```